NdY9Ho2: relaxed, PBE-GGA.

## Properties
**Total moment**: 0.0 μB per formula unit
**Formation energy from the elements**: 0.025 eV/atom
**Final energy**: -5.98 eV/atom

```
data_NdY9Ho2
_symmetry_space_group_name_H-M 'P 4/m m m'
_symmetry_Int_Tables_number 123
_symmetry_space_group_name_Hall '-P 4 2'
_cell_length_a 5.054
_cell_length_b 5.054
_cell_length_c 15.163
_cell_angle_alpha 90.00
_cell_angle_beta 90.00
_cell_angle_gamma 90.00
loop_
_atom_site_label
_atom_site_type_symbol
_atom_site_fract_x
_atom_site_fract_y
_atom_site_fract_z
_atom_site_occupancy
Nd1 Nd 0.000 0.000 0.000 1
Y1 Y 0.000 0.500 0.169 1
Y2 Y 0.000 0.500 0.500 1
Y3 Y 0.500 0.500 0.000 1
Y4 Y 0.500 0.500 0.335 1
Ho1 Ho 0.000 0.000 0.334 1
```